The following is a meta-GGA SCAN calculation of a PBEsol-optimized structure of Be2InMo, from the Alexandria database.

Summary:
- crystal system = tetragonal
- volume (Å³/cell) = 52.2
- ΔE_f (eV/atom) = 0.162
- uncorrected energy (eV per atom) = -19.083

Unit cell a=3.8922 b=3.8922 c=3.4431 alpha=90.00 beta=90.00 gamma=90.00
Space group P4/mmm (No. 123)
Asymmetric unit:
Be 0.0000 0.5000 0.0000 [2 per cell]
In 0.0000 0.0000 0.5000 [1 per cell]
Mo 0.5000 0.5000 0.5000 [1 per cell]